(1)
A plane-wave DFT calculation with PBE-GGA was carried out for a geometry-optimized HfTiTc structure.

Space-group type = C2/m (12)
Formation enthalpy at 0 K = -0.286 eV per atom
Magnetic moment = 0.00 μB/atom
Offset from the most stable computed form = 0.073 eV per atom

Unit cell a=6.1109 b=4.4156 c=9.8300 alpha=90.00 beta=128.42 gamma=90.00
With the nearest neighbours (Å) after each atom.
Positions (direct):
Hf 0.7721 0.0000 0.1717  3 Tc 2.76-2.77, 3 Ti 2.86-2.99, 1 Hf 2.92
Hf 0.2279 0.0000 0.8283  3 Tc 2.76-2.77, 3 Ti 2.86-2.99, 1 Hf 2.92
Hf 0.7721 0.5000 0.6717  3 Tc 2.76-2.77, 3 Ti 2.86-2.99, 1 Hf 2.92
Hf 0.2279 0.5000 0.3283  3 Tc 2.76-2.77, 3 Ti 2.86-2.99, 1 Hf 2.92
Tc 0.2605 0.0000 0.5102  3 Ti 2.64-2.67, 3 Hf 2.76-2.77
Tc 0.7395 0.0000 0.4898  3 Ti 2.64-2.67, 3 Hf 2.76-2.77
Tc 0.2605 0.5000 0.0102  3 Ti 2.64-2.67, 3 Hf 2.76-2.77
Tc 0.7395 0.5000 0.9898  3 Ti 2.64-2.67, 3 Hf 2.76-2.77
Ti 0.7271 0.0000 0.8387  3 Tc 2.64-2.67, 1 Ti 2.83, 2 Hf 2.86
Ti 0.2729 0.0000 0.1613  3 Tc 2.64-2.67, 1 Ti 2.83, 2 Hf 2.86
Ti 0.7271 0.5000 0.3387  3 Tc 2.64-2.67, 1 Ti 2.83, 2 Hf 2.86
Ti 0.2729 0.5000 0.6613  3 Tc 2.64-2.67, 1 Ti 2.83, 2 Hf 2.86

(2)
A plane-wave DFT calculation with PBE-GGA was carried out for a geometry-optimized HfTiTc structure.

Space-group type = Cm (8)
Formation enthalpy at 0 K = -0.296 eV per atom
Magnetic moment = 0.00 μB/atom
Offset from the most stable computed form = 0.063 eV per atom

Unit cell a=5.6444 b=4.4908 c=9.9067 alpha=90.00 beta=123.44 gamma=90.00
With the nearest neighbours (Å) after each atom.
Positions (direct):
Hf 0.3228 0.0000 0.0235  4 Tc 2.75-2.85, 2 Hf 2.99, 2 Ti 3.03-3.06
Hf 0.3228 0.5000 0.5235  4 Tc 2.75-2.85, 2 Hf 2.99, 2 Ti 3.03-3.06
Hf 0.7015 0.0000 0.7272  3 Tc 2.71-2.75, 2 Ti 2.86-2.87, 2 Hf 2.99
Hf 0.7015 0.5000 0.2272  3 Tc 2.71-2.75, 2 Ti 2.86-2.87, 2 Hf 2.99
Tc 0.8443 0.0000 0.0408  4 Ti 2.68-2.74, 3 Hf 2.75-2.85, 1 Tc 2.82
Tc 0.8443 0.5000 0.5407  4 Ti 2.68-2.74, 3 Hf 2.75-2.85, 1 Tc 2.82
Tc 0.0119 0.0000 0.3661  3 Ti 2.67-2.91, 4 Hf 2.71-2.75, 1 Tc 2.82
Tc 0.0119 0.5000 0.8661  3 Ti 2.67-2.91, 4 Hf 2.71-2.75, 1 Tc 2.82
Ti 0.1454 0.0000 0.6703  3 Tc 2.67-2.68, 2 Hf 2.86-2.87
Ti 0.1454 0.5000 0.1703  3 Tc 2.67-2.68, 2 Hf 2.86-2.87
Ti 0.5399 0.0000 0.3794  4 Tc 2.74-2.91, 3 Ti 3.02-3.03, 2 Hf 3.03-3.04
Ti 0.5399 0.5000 0.8794  4 Tc 2.74-2.91, 3 Ti 3.02-3.03, 2 Hf 3.03-3.04